Record 1
Below is crystalline HfTlSe2 at its relaxed geometry, with properties calculated at the GGA-PBE level.

Cell: 6.941 3.518 18.291 Å, 90.00 90.00 90.00°
Positions (direct):
Hf  0.241  0.250  0.188
Hf  0.259  0.750  0.688
Hf  0.741  0.250  0.312
Hf  0.759  0.750  0.812
Tl  0.240  0.250  0.912
Tl  0.260  0.750  0.412
Tl  0.740  0.250  0.588
Tl  0.760  0.750  0.088
Se  0.005  0.750  0.257
Se  0.236  0.750  0.081
Se  0.264  0.250  0.581
Se  0.495  0.250  0.757
Se  0.505  0.750  0.243
Se  0.736  0.750  0.419
Se  0.764  0.250  0.919
Se  0.995  0.250  0.743

Results
- V (Å³ per atom) = 27.91
- D(E_F) (states/eV/atom) = 0.3072
- size of the total moment (μB/cell) = 0.0
- crystal system = orthorhombic
- energy relative to the elements, uncorrected (meV per atom) = -821

***

Record 2
Below is crystalline HfTlSe2 at its relaxed geometry, with properties calculated at the GGA-PBE level.

Cell: 4.120 4.120 5.743 Å, 90.00 90.00 90.00°
Positions (direct):
Hf  0.000  0.000  0.000
Tl  0.500  0.500  0.500
Se  0.000  0.000  0.500
Se  0.500  0.500  0.000

Results
- V (Å³ per atom) = 24.37
- D(E_F) (states/eV/atom) = 0.4121
- size of the total moment (μB/cell) = 0.0
- crystal system = tetragonal
- energy relative to the elements, uncorrected (meV per atom) = -385

***

Record 3
Below is crystalline Hf3TlSe at its relaxed geometry, with properties calculated at the GGA-PBE level.

Cell: 4.952 4.952 4.952 Å, 90.00 90.00 90.00°
Positions (direct):
Hf  0.000  0.000  0.500
Hf  0.000  0.500  0.000
Hf  0.500  0.000  0.000
Tl  0.500  0.500  0.500
Se  0.000  0.000  0.000

Results
- V (Å³ per atom) = 24.29
- D(E_F) (states/eV/atom) = 1.4165
- size of the total moment (μB/cell) = 0.0
- energy above the lowest structure with this stoichiometry (meV per atom) = 0
- crystal system = cubic
- energy relative to the elements, uncorrected (meV per atom) = 205

***

Record 4
Below is crystalline HfTlSe2 at its relaxed geometry, with properties calculated at the GGA-PBE level.

Cell: 5.007 5.007 5.007 Å, 60.00 60.00 60.00°
Positions (direct):
Hf  0.000  0.000  0.000
Tl  0.500  0.500  0.500
Se  0.250  0.250  0.250
Se  0.750  0.750  0.750

Results
- V (Å³ per atom) = 22.19
- D(E_F) (states/eV/atom) = 0.8091
- size of the total moment (μB/cell) = 0.9
- crystal system = cubic
- energy relative to the elements, uncorrected (meV per atom) = -329

***

Record 5
Below is crystalline Hf3TlSe at its relaxed geometry, with properties calculated at the GGA-PBE level.

Cell: 5.286 5.286 5.286 Å, 90.00 90.00 90.00°
Positions (direct):
Hf  0.000  0.000  0.500
Hf  0.000  0.500  0.000
Hf  0.500  0.000  0.000
Tl  0.000  0.000  0.000
Se  0.500  0.500  0.500

Results
- V (Å³ per atom) = 29.54
- D(E_F) (states/eV/atom) = 1.4227
- size of the total moment (μB/cell) = 1.3
- energy above the lowest structure with this stoichiometry (meV per atom) = 1159
- crystal system = cubic
- energy relative to the elements, uncorrected (meV per atom) = 1365

***

Record 6
Below is crystalline Hf6TlSe12 at its relaxed geometry, with properties calculated at the GGA-PBE level.

Cell: 8.161 8.161 8.161 Å, 106.03 106.03 106.03°
Positions (direct):
Hf  0.263  0.263  0.655
Hf  0.263  0.655  0.263
Hf  0.345  0.737  0.737
Hf  0.655  0.263  0.263
Hf  0.737  0.345  0.737
Hf  0.737  0.737  0.345
Tl  0.000  0.000  0.000
Se  0.123  0.500  0.877
Se  0.123  0.877  0.500
Se  0.163  0.431  0.431
Se  0.431  0.163  0.431
Se  0.431  0.431  0.163
Se  0.500  0.123  0.877
Se  0.500  0.877  0.123
Se  0.569  0.569  0.837
Se  0.569  0.837  0.569
Se  0.837  0.569  0.569
Se  0.877  0.123  0.500
Se  0.877  0.500  0.123

Results
- V (Å³ per atom) = 24.43
- D(E_F) (states/eV/atom) = 0.3874
- size of the total moment (μB/cell) = 0.0
- crystal system = trigonal
- energy relative to the elements, uncorrected (meV per atom) = -928

***

Record 7
Below is crystalline Hf3TlSe6 at its relaxed geometry, with properties calculated at the GGA-PBE level.

Cell: 11.931 3.764 11.986 Å, 90.00 107.01 90.00°
Positions (direct):
Hf  0.029  0.250  0.144
Hf  0.200  0.250  0.767
Hf  0.348  0.750  0.460
Hf  0.652  0.250  0.540
Hf  0.800  0.750  0.233
Hf  0.971  0.750  0.856
Tl  0.406  0.750  0.125
Tl  0.594  0.250  0.875
Se  0.044  0.750  0.667
Se  0.133  0.250  0.966
Se  0.183  0.750  0.248
Se  0.254  0.250  0.557
Se  0.359  0.750  0.851
Se  0.452  0.250  0.363
Se  0.548  0.750  0.637
Se  0.641  0.250  0.149
Se  0.746  0.750  0.443
Se  0.817  0.250  0.752
Se  0.867  0.750  0.034
Se  0.956  0.250  0.333

Results
- V (Å³ per atom) = 25.74
- D(E_F) (states/eV/atom) = 0.2466
- size of the total moment (μB/cell) = 0.0
- crystal system = monoclinic
- energy relative to the elements, uncorrected (meV per atom) = -1153

***

Record 8
Below is crystalline HfTlSe2 at its relaxed geometry, with properties calculated at the GGA-PBE level.

Cell: 7.254 7.254 7.254 Å, 132.52 132.52 69.41°
Positions (direct):
Hf  0.375  0.625  0.750
Hf  0.625  0.375  0.250
Tl  0.125  0.875  0.250
Tl  0.875  0.125  0.750
Se  0.150  0.400  0.750
Se  0.400  0.150  0.250
Se  0.600  0.850  0.750
Se  0.850  0.600  0.250

Results
- V (Å³ per atom) = 25.43
- D(E_F) (states/eV/atom) = 0.7004
- size of the total moment (μB/cell) = 0.0
- crystal system = tetragonal
- energy relative to the elements, uncorrected (meV per atom) = -550

***

Record 9
Below is crystalline HfTlSe2 at its relaxed geometry, with properties calculated at the GGA-PBE level.

Cell: 7.672 4.833 11.816 Å, 90.00 90.00 90.00°
Positions (direct):
Hf  0.071  0.250  0.096
Hf  0.429  0.750  0.596
Hf  0.571  0.250  0.404
Hf  0.929  0.750  0.904
Tl  0.140  0.750  0.355
Tl  0.360  0.250  0.855
Tl  0.640  0.750  0.145
Tl  0.860  0.250  0.645
Se  0.124  0.750  0.732
Se  0.189  0.750  0.054
Se  0.311  0.250  0.554
Se  0.376  0.250  0.232
Se  0.624  0.750  0.768
Se  0.689  0.750  0.446
Se  0.811  0.250  0.946
Se  0.876  0.250  0.268

Results
- V (Å³ per atom) = 27.38
- D(E_F) (states/eV/atom) = 0.0286
- size of the total moment (μB/cell) = 0.0
- crystal system = orthorhombic
- energy relative to the elements, uncorrected (meV per atom) = -811

***

Record 10
Below is crystalline HfTlSe2 at its relaxed geometry, with properties calculated at the GGA-PBE level.

Cell: 5.076 5.076 3.459 Å, 90.00 90.00 90.00°
Positions (direct):
Hf  0.000  0.000  0.000
Tl  0.500  0.500  0.000
Se  0.000  0.500  0.500
Se  0.500  0.000  0.500

Results
- V (Å³ per atom) = 22.28
- D(E_F) (states/eV/atom) = 0.8097
- size of the total moment (μB/cell) = 0.0
- crystal system = tetragonal
- energy relative to the elements, uncorrected (meV per atom) = -234

***

Record 11
Below is crystalline HfTlSe2 at its relaxed geometry, with properties calculated at the GGA-PBE level.

Cell: 7.577 7.577 7.577 Å, 124.57 124.57 82.25°
Positions (direct):
Hf  0.000  0.000  0.000
Hf  0.750  0.250  0.500
Tl  0.250  0.750  0.500
Tl  0.500  0.500  0.000
Se  0.040  0.625  0.915
Se  0.375  0.290  0.415
Se  0.710  0.125  0.085
Se  0.875  0.960  0.585

Results
- V (Å³ per atom) = 35.44
- D(E_F) (states/eV/atom) = 0.8785
- size of the total moment (μB/cell) = 0.1
- crystal system = tetragonal
- energy relative to the elements, uncorrected (meV per atom) = -616

***

Record 12
Below is crystalline Hf2TlSe at its relaxed geometry, with properties calculated at the GGA-PBE level.

Cell: 10.610 10.610 10.610 Å, 156.48 156.48 33.50°
Positions (direct):
Hf  0.121  0.625  0.996
Hf  0.375  0.371  0.496
Hf  0.629  0.125  0.004
Hf  0.875  0.879  0.504
Tl  0.250  0.750  0.500
Tl  0.500  0.500  0.000
Se  0.000  0.000  0.000
Se  0.750  0.250  0.500

Results
- V (Å³ per atom) = 23.75
- D(E_F) (states/eV/atom) = 0.4489
- size of the total moment (μB/cell) = 0.0
- energy above the lowest structure with this stoichiometry (meV per atom) = 495
- crystal system = tetragonal
- energy relative to the elements, uncorrected (meV per atom) = 115

***

Record 13
Below is crystalline Tm3HfTl4Se8 at its relaxed geometry, with properties calculated at the GGA-PBE level.

Cell: 9.326 9.326 9.326 Å, 51.16 51.16 51.16°
Positions (direct):
Tm  0.000  0.500  0.500
Tm  0.500  0.000  0.500
Tm  0.500  0.500  0.000
Hf  0.000  0.000  0.000
Tl  0.000  0.000  0.500
Tl  0.000  0.500  0.000
Tl  0.500  0.000  0.000
Tl  0.500  0.500  0.500
Se  0.224  0.224  0.746
Se  0.224  0.746  0.224
Se  0.254  0.776  0.776
Se  0.267  0.267  0.267
Se  0.733  0.733  0.733
Se  0.746  0.224  0.224
Se  0.776  0.254  0.776
Se  0.776  0.776  0.254

Results
- V (Å³ per atom) = 28.38
- D(E_F) (states/eV/atom) = 0.3529
- size of the total moment (μB/cell) = 0.0
- crystal system = trigonal
- energy relative to the elements, uncorrected (meV per atom) = -1242

***

Record 14
Below is crystalline Tm2HfTl2Se6 at its relaxed geometry, with properties calculated at the GGA-PBE level.

Cell: 6.943 6.943 8.227 Å, 98.36 98.36 119.84°
Positions (direct):
Tm  0.168  0.832  0.000
Tm  0.832  0.168  0.000
Hf  0.500  0.500  0.000
Tl  0.331  0.669  0.500
Tl  0.669  0.331  0.500
Se  0.113  0.430  0.802
Se  0.250  0.250  0.198
Se  0.430  0.113  0.802
Se  0.570  0.887  0.198
Se  0.750  0.750  0.802
Se  0.887  0.570  0.198

Results
- V (Å³ per atom) = 29.93
- size of the total moment (μB/cell) = 0.0
- crystal system = monoclinic
- energy relative to the elements, uncorrected (meV per atom) = -1369

***

Record 15
Below is crystalline Tm2HfTl3Se6 at its relaxed geometry, with properties calculated at the GGA-PBE level.

Cell: 6.891 6.891 8.651 Å, 97.79 97.79 120.05°
Positions (direct):
Tm  0.167  0.833  0.000
Tm  0.833  0.167  0.000
Hf  0.500  0.500  0.000
Tl  0.000  0.000  0.500
Tl  0.333  0.667  0.500
Tl  0.667  0.333  0.500
Se  0.117  0.436  0.811
Se  0.245  0.245  0.190
Se  0.436  0.117  0.811
Se  0.564  0.883  0.189
Se  0.755  0.755  0.810
Se  0.883  0.564  0.189

Results
- V (Å³ per atom) = 28.52
- D(E_F) (states/eV/atom) = 0.3848
- size of the total moment (μB/cell) = 0.0
- crystal system = monoclinic
- energy relative to the elements, uncorrected (meV per atom) = -1206

***

Record 16
Below is crystalline HfU2Tl3Se6 at its relaxed geometry, with properties calculated at the GGA-PBE level.

Cell: 6.976 6.976 8.371 Å, 98.02 98.02 119.93°
Positions (direct):
Hf  0.000  0.000  0.000
U  0.335  0.665  0.000
U  0.665  0.335  0.000
Tl  0.175  0.825  0.500
Tl  0.500  0.500  0.500
Tl  0.825  0.175  0.500
Se  0.067  0.382  0.201
Se  0.245  0.245  0.794
Se  0.382  0.067  0.201
Se  0.618  0.933  0.799
Se  0.755  0.755  0.206
Se  0.933  0.618  0.799

Results
- V (Å³ per atom) = 28.25
- D(E_F) (states/eV/atom) = 0.6384
- size of the total moment (μB/cell) = 7.0
- crystal system = monoclinic
- energy relative to the elements, uncorrected (meV per atom) = -887

***

Record 17
Below is crystalline HfU3Tl3Se8 at its relaxed geometry, with properties calculated at the GGA-PBE level.

Cell: 9.283 9.283 9.283 Å, 51.75 51.75 51.75°
Positions (direct):
Hf  0.000  0.000  0.000
U  0.000  0.500  0.500
U  0.500  0.000  0.500
U  0.500  0.500  0.000
Tl  0.000  0.000  0.500
Tl  0.000  0.500  0.000
Tl  0.500  0.000  0.000
Se  0.224  0.224  0.751
Se  0.224  0.751  0.224
Se  0.249  0.776  0.776
Se  0.263  0.263  0.263
Se  0.737  0.737  0.737
Se  0.751  0.224  0.224
Se  0.776  0.249  0.776
Se  0.776  0.776  0.249

Results
- V (Å³ per atom) = 30.39
- D(E_F) (states/eV/atom) = 0.8978
- size of the total moment (μB/cell) = 9.0
- crystal system = trigonal
- energy relative to the elements, uncorrected (meV per atom) = -973

***

Record 18
Below is crystalline HfTl3V2Se6 at its relaxed geometry, with properties calculated at the GGA-PBE level.

Cell: 6.480 6.480 8.128 Å, 90.08 90.08 119.95°
Positions (direct):
Hf  0.000  0.000  0.000
Tl  0.000  0.000  0.500
Tl  0.334  0.666  0.500
Tl  0.666  0.334  0.500
V  0.333  0.667  0.000
V  0.667  0.333  0.000
Se  0.001  0.345  0.183
Se  0.343  0.343  0.817
Se  0.345  0.001  0.183
Se  0.655  0.999  0.817
Se  0.657  0.657  0.183
Se  0.999  0.655  0.817

Results
- V (Å³ per atom) = 24.64
- D(E_F) (states/eV/atom) = 0.7053
- size of the total moment (μB/cell) = 4.2
- crystal system = monoclinic
- energy relative to the elements, uncorrected (meV per atom) = -728

***

Record 19
Below is crystalline Y2HfTl3Se6 at its relaxed geometry, with properties calculated at the GGA-PBE level.

Cell: 6.980 6.980 8.523 Å, 98.11 98.11 120.07°
Positions (direct):
Y  0.166  0.834  0.000
Y  0.834  0.166  0.000
Hf  0.500  0.500  0.000
Tl  0.000  0.000  0.500
Tl  0.330  0.670  0.500
Tl  0.670  0.330  0.500
Se  0.118  0.433  0.806
Se  0.253  0.253  0.197
Se  0.433  0.118  0.806
Se  0.567  0.882  0.194
Se  0.747  0.747  0.803
Se  0.882  0.567  0.194

Results
- V (Å³ per atom) = 28.72
- D(E_F) (states/eV/atom) = 0.4898
- size of the total moment (μB/cell) = 0.0
- crystal system = monoclinic
- energy relative to the elements, uncorrected (meV per atom) = -1214

***

Record 20
Below is crystalline Y3HfTl3Se8 at its relaxed geometry, with properties calculated at the GGA-PBE level.

Cell: 9.187 9.187 9.187 Å, 52.94 52.94 52.94°
Positions (direct):
Y  0.000  0.500  0.500
Y  0.500  0.000  0.500
Y  0.500  0.500  0.000
Hf  0.000  0.000  0.000
Tl  0.000  0.000  0.500
Tl  0.000  0.500  0.000
Tl  0.500  0.000  0.000
Se  0.224  0.224  0.750
Se  0.224  0.750  0.224
Se  0.250  0.776  0.776
Se  0.265  0.265  0.265
Se  0.735  0.735  0.735
Se  0.750  0.224  0.224
Se  0.776  0.250  0.776
Se  0.776  0.776  0.250

Results
- V (Å³ per atom) = 30.50
- size of the total moment (μB/cell) = 0.0
- crystal system = trigonal
- energy relative to the elements, uncorrected (meV per atom) = -1386